Record 1
Computed, not measured: a relaxed structure of MgP at the PBE level of DFT.

```
MgP
1.0
4.8733 -1.7892 0.0000
4.8733 1.7892 0.0000
-1.3177 0.0000 6.4259
Mg P
3 3
direct
0.0000 0.0000 0.0000
0.6505 0.6505 0.6918
0.8459 0.8459 0.3600
0.2639 0.2639 0.9661
0.3770 0.3770 0.7014
0.5610 0.5610 0.3052
```

Results
Symmetry: Cm
N(E_F), states/eV/cell: 1.54
DFT total energy, eV per atom: -3.84
Energy of formation from the pure elements, meV/atom: -342.6
Offset from the most stable computed form, eV/f.u.: 0.35

***

Record 2
Computed, not measured: a relaxed structure of Gd2SiRh at the PBE level of DFT.

```
Gd2SiRh
1.0
4.7357 0.0000 0.0000
0.0000 4.7357 0.0000
0.0000 0.0000 3.7938
Gd Si Rh
2 1 1
direct
0.0000 0.5000 0.0000
0.5000 0.0000 0.0000
0.0000 0.0000 0.5000
0.5000 0.5000 0.5000
```

Results
Symmetry: P4/mmm
N(E_F), states/eV/cell: 2.20
DFT total energy, eV per atom: -10.90
Offset from the most stable computed form, eV/f.u.: 0.00

***

Record 3
Computed, not measured: a relaxed structure of Tl2Te at the PBE level of DFT.

```
Tl2Te
1.0
4.8517 0.0000 0.0000
-2.4258 4.2017 0.0000
0.0000 0.0000 5.5399
Tl Te
2 1
direct
0.3333 0.6667 0.3010
0.6667 0.3333 0.6990
0.0000 0.0000 0.0000
```

Results
Symmetry: P-3m1
N(E_F), states/eV/cell: 0.07
DFT total energy, eV per atom: -2.91
Offset from the most stable computed form, eV/f.u.: 0.05

***

Record 4
Computed, not measured: a relaxed structure of GaCuGe at the PBE level of DFT.

```
GaCuGe
1.0
7.2558 0.0000 0.0000
0.0000 4.0226 0.0000
0.0000 0.0000 6.8163
Ga Cu Ge
4 4 4
direct
0.0147 0.2500 0.2083
0.4853 0.7500 0.7083
0.5147 0.2500 0.2917
0.9853 0.7500 0.7917
0.0935 0.2500 0.5753
0.4065 0.7500 0.0753
0.5935 0.2500 0.9247
0.9065 0.7500 0.4247
0.2338 0.2500 0.9118
0.2662 0.7500 0.4118
0.7338 0.2500 0.5882
0.7662 0.7500 0.0882
```

Results
Symmetry: Pnma
N(E_F), states/eV/cell: 2.87
DFT total energy, eV per atom: -3.88
Energy of formation from the pure elements, meV/atom: 32.8